Record 1
Here is a relaxed La3RhC2N6 crystal from the Alexandria database. Energies are from PBE-GGA.

extended XYZ file:
```
12
Lattice="5.346 0.000 0.000 -2.673 4.630 0.000 0.000 0.000 6.676" Properties=species:S:1:pos:R:3 pbc="T T T"
La 0.000 0.000 0.000
La 0.000 3.086 4.450
La 2.673 1.543 2.225
Rh 0.000 0.000 3.338
C 0.000 3.086 1.780
C 2.673 1.543 4.896
N 0.000 1.708 1.787
N -1.194 3.776 1.787
N 1.479 0.854 4.889
N 1.194 3.776 1.787
N 3.867 0.854 4.889
N 2.673 2.922 4.889
```

Formation energy (no corrections) (eV/atom): -0.5799
Fermi-level density of states (states/eV/atom): 0.254
Raw total energy (Ry/atom): -0.597

Record 2
Here is a relaxed VCuTe crystal from the Alexandria database. Energies are from PBE-GGA.

extended XYZ file:
```
6
Lattice="3.700 0.000 0.000 -1.850 4.249 0.000 -0.029 -1.591 8.007" Properties=species:S:1:pos:R:3 pbc="T T T"
V 0.003 1.290 0.418
V 1.818 1.368 7.589
Cu 0.001 3.844 1.236
Cu 1.820 -1.186 6.772
Te -0.031 0.569 5.746
Te 1.852 2.089 2.262
```

Formation energy (no corrections) (eV/atom): -0.0686
Fermi-level density of states (states/eV/atom): 0.483
Raw total energy (Ry/atom): -0.406
Excess energy over the best structure of this formula in the dataset (meV per atom): 0.0

Record 3
Here is a relaxed CeHoP2O8 crystal from the Alexandria database. Energies are from PBE-GGA.

extended XYZ file:
```
12
Lattice="5.279 0.000 0.000 -2.640 4.572 0.000 0.000 0.000 7.160" Properties=species:S:1:pos:R:3 pbc="T T T"
Ce 0.000 0.000 0.000
Ho 0.000 0.000 3.580
P 0.000 3.048 5.674
P 2.640 1.524 1.486
O 0.000 1.588 5.141
O -1.265 3.778 5.141
O 0.000 3.048 0.043
O 1.375 0.794 2.018
O 1.265 3.778 5.141
O 2.640 1.524 7.117
O 3.904 0.794 2.018
O 2.640 2.984 2.018
```

Formation energy (no corrections) (eV/atom): -2.8894
Fermi-level density of states (states/eV/atom): 0.587
Raw total energy (Ry/atom): -0.586